1.
This record from Alexandria describes Pm2TlHg after structural relaxation. The functional is GGA-PBEsol.

Output
- Energy: -3.868 eV per atom
- Crystal system: cubic

Unit cell a=7.5564 b=7.5564 c=7.5564 alpha=90.00 beta=90.00 gamma=90.00
With the nearest neighbours (Å) after each atom.
Space group Fm-3m (No. 225)
Symmetry-distinct sites (fractional):
Pm  0.2500  0.2500  0.2500 x8  4 Hg 3.27, 4 Tl 3.27
Tl  0.0000  0.0000  0.0000 x4  8 Pm 3.27
Hg  0.0000  0.0000  0.5000 x4  8 Pm 3.27



2.
This record from Alexandria describes Ta2AuSe after structural relaxation. The functional is GGA-PBEsol.

Output
- Raw formation energy: -190 meV/atom
- Crystal system: tetragonal

Unit cell a=3.0547 b=3.0547 c=7.0970 alpha=90.00 beta=90.00 gamma=90.00
With the nearest neighbours (Å) after each atom.
Space group P4/mmm (No. 123)
Symmetry-distinct sites (fractional):
Ta  0.0000  0.0000  0.2298 x2  4 Se 2.71, 4 Au 2.89
Au  0.5000  0.5000  0.5000 x1  8 Ta 2.89, 4 Au 3.05
Se  0.5000  0.5000  0.0000 x1  8 Ta 2.71



3.
This record from Alexandria describes FeReMo after structural relaxation. The functional is GGA-PBEsol.

Output
- Excess energy over the best structure of this formula in the dataset: 0.000 eV/atom
- Crystal system: tetragonal

Unit cell a=2.6429 b=2.6429 c=11.4602 alpha=90.00 beta=90.00 gamma=90.00
With the nearest neighbours (Å) after each atom.
Space group I4mm (No. 107)
Symmetry-distinct sites (fractional):
Fe  0.0000  0.0000  0.0000 x2  4 Re 2.49, 4 Fe 2.64, 4 Mo 2.65
Re  0.0000  0.0000  0.3565 x2  4 Fe 2.49, 4 Re 2.64
Mo  0.0000  0.0000  0.6634 x2  4 Mo 2.64, 4 Fe 2.65, 4 Re 2.90



4.
This record from Alexandria describes HfZr2AlPt after structural relaxation. The functional is GGA-PBEsol.

Output
- Energy: -6.813 eV per atom
- Crystal system: tetragonal

Unit cell a=4.9128 b=4.9128 c=4.8999 alpha=90.00 beta=90.00 gamma=90.00
With the nearest neighbours (Å) after each atom.
Space group P4/mmm (No. 123)
Symmetry-distinct sites (fractional):
Hf  0.0000  0.0000  0.0000 x1  2 Al 2.45, 4 Zr 2.46
Zr  0.0000  0.5000  0.0000 x2  2 Hf 2.46
Al  0.0000  0.0000  0.5000 x1  2 Hf 2.45
Pt  0.5000  0.5000  0.5000 x1  8 Zr 3.47, 4 Al 3.47



5.
This record from Alexandria describes KMgFe2 after structural relaxation. The functional is GGA-PBEsol.

Output
- Excess energy over the best structure of this formula in the dataset: 0.087 eV/atom
- Crystal system: monoclinic

Unit cell a=6.2681 b=3.6187 c=8.1763 alpha=90.00 beta=104.64 gamma=90.00
With the nearest neighbours (Å) after each atom.
Space group Cm (No. 8)
Symmetry-distinct sites (fractional):
K  0.0000  0.0000  0.0000 x2  6 Fe 3.26-3.47, 6 K 3.62
Mg  0.1823  0.0000  0.5537 x2  6 Fe 2.64-2.81
Fe  0.2710  0.5000  0.3169 x2  3 Fe 2.11
Fe  0.4486  0.0000  0.3503 x2  3 Fe 2.11



6.
This record from Alexandria describes CsTmP4H12O18 after structural relaxation. The functional is GGA-PBEsol.

Output
- Energy: -6.310 eV per atom
- Crystal system: monoclinic

Unit cell a=8.5578 b=12.0717 c=15.0031 alpha=90.00 beta=91.00 gamma=90.00
With the nearest neighbours (Å) after each atom.
Space group C2/c (No. 15)
Symmetry-distinct sites (fractional):
Cs  0.0000  0.0364  0.2500 x4  8 O 3.05-3.32, 4 H 3.11-3.30
Tm  0.0000  0.3881  0.2500 x4  8 O 2.27-2.34
P  0.1210  0.4108  0.5877 x8  4 O 1.49-1.61
P  0.2108  0.4661  0.9264 x8  4 O 1.49-1.62
H  0.0260  0.1992  0.6087 x8  1 O 1.00
H  0.0477  0.2185  0.1059 x8  1 O 1.00
H  0.0989  0.1321  0.9498 x8  1 O 1.00
H  0.1386  0.2449  0.3891 x8  1 O 1.00
H  0.1902  0.1854  0.8208 x8  1 O 1.03
H  0.2165  0.2438  0.7229 x8  1 O 0.99
O  0.0325  0.2682  0.3680 x8  2 H 1.00
O  0.0535  0.4006  0.9532 x8  2 P 1.61-1.62
O  0.0621  0.1457  0.8871 x8  2 H 1.00
O  0.1329  0.4974  0.1543 x8  1 P 1.49
O  0.1539  0.1104  0.0587 x8  1 P 1.49
O  0.1707  0.2964  0.6164 x8  1 P 1.51
O  0.1880  0.4793  0.3377 x8  1 P 1.49
O  0.2215  0.4382  0.5018 x8  2 P 1.60-1.62
O  0.2293  0.2912  0.2254 x8  2 H 0.99-1.03



7.
This record from Alexandria describes MnBi2Ru after structural relaxation. The functional is GGA-PBEsol.

Output
- Energy: -6.611 eV per atom
- Crystal system: cubic

Unit cell a=6.8112 b=6.8112 c=6.8112 alpha=90.00 beta=90.00 gamma=90.00
With the nearest neighbours (Å) after each atom.
Space group Fm-3m (No. 225)
Symmetry-distinct sites (fractional):
Mn  0.0000  0.0000  0.0000 x4  8 Bi 2.95
Bi  0.2500  0.2500  0.2500 x8  4 Mn 2.95, 4 Ru 2.95
Ru  0.0000  0.0000  0.5000 x4  8 Bi 2.95



8.
This record from Alexandria describes LiFePO4 after structural relaxation. The functional is GGA-PBEsol.

Output
- Raw formation energy: -1908 meV/atom
- Excess energy over the best structure of this formula in the dataset: 0.004 eV/atom
- Crystal system: orthorhombic

Unit cell a=5.5369 b=5.7406 c=7.9714 alpha=90.00 beta=90.00 gamma=90.00
With the nearest neighbours (Å) after each atom.
Space group Imma (No. 74)
Symmetry-distinct sites (fractional):
Li  0.0000  0.0000  0.0000 x4  6 O 2.07-2.13
Fe  0.2500  0.2500  0.2500 x4  6 O 2.05-2.12
P  0.0000  0.2500  0.6181 x4  4 O 1.56
O  0.0000  0.0299  0.7339 x8  1 P 1.56
O  0.2305  0.2500  0.5065 x8  1 P 1.56



9.
This record from Alexandria describes LaZrMn2 after structural relaxation. The functional is GGA-PBEsol.

Output
- Excess energy over the best structure of this formula in the dataset: 0.023 eV/atom
- Crystal system: tetragonal

Unit cell a=3.3617 b=3.3617 c=6.8728 alpha=90.00 beta=90.00 gamma=90.00
With the nearest neighbours (Å) after each atom.
Space group P4/mmm (No. 123)
Symmetry-distinct sites (fractional):
La  0.0000  0.0000  0.0000 x1  8 Mn 3.15, 4 La 3.36, 2 Zr 3.44
Zr  0.0000  0.0000  0.5000 x1  8 Mn 2.74
Mn  0.5000  0.5000  0.3013 x2  1 Mn 2.73, 4 Zr 2.74



10.
This record from Alexandria describes SrY2As after structural relaxation. The functional is GGA-PBEsol.

Output
- Energy: -5.422 eV per atom
- Crystal system: tetragonal

Unit cell a=4.5590 b=4.5590 c=10.6506 alpha=90.00 beta=90.00 gamma=90.00
With the nearest neighbours (Å) after each atom.
Space group I4/mmm (No. 139)
Symmetry-distinct sites (fractional):
Sr  0.0000  0.0000  0.0000 x2  4 As 3.22, 8 Y 3.51
Y  0.0000  0.5000  0.2500 x4  4 Y 3.22, 4 As 3.51, 4 Sr 3.51
As  0.0000  0.0000  0.5000 x2  4 Sr 3.22, 8 Y 3.51



11.
This record from Alexandria describes ZnCoF6 after structural relaxation. The functional is GGA-PBEsol.

Output
- Raw formation energy: -1859 meV/atom
- Crystal system: trigonal

Unit cell a=4.8397 b=4.8397 c=13.0896 alpha=90.00 beta=90.00 gamma=120.00
With the nearest neighbours (Å) after each atom.
Space group R-3 (No. 148, hexagonal axes)
Symmetry-distinct sites (fractional):
Zn  0.0000  0.0000  0.0000 x3  6 F 2.01
Co  0.0000  0.0000  0.5000 x3  6 F 1.79
F  0.0127  0.3085  0.5789 x18  1 Co 1.79



12.
This record from Alexandria describes TlIn2Ir after structural relaxation. The functional is GGA-PBEsol.

Output
- Excess energy over the best structure of this formula in the dataset: 0.315 eV/atom
- Crystal system: tetragonal

Unit cell a=5.0204 b=5.0204 c=3.2155 alpha=90.00 beta=90.00 gamma=90.00
With the nearest neighbours (Å) after each atom.
Space group P4/mmm (No. 123)
Symmetry-distinct sites (fractional):
Tl  0.0000  0.0000  0.0000 x1  8 In 2.98, 2 Tl 3.22
In  0.0000  0.5000  0.5000 x2  4 Tl 2.98, 4 Ir 2.98, 2 In 3.22
Ir  0.5000  0.5000  0.0000 x1  8 In 2.98, 2 Ir 3.22



Copy entry 12 word for word.
This record from Alexandria describes TlIn2Ir after structural relaxation. The functional is GGA-PBEsol.

Output
- Excess energy over the best structure of this formula in the dataset: 0.315 eV/atom
- Crystal system: tetragonal

Unit cell a=5.0204 b=5.0204 c=3.2155 alpha=90.00 beta=90.00 gamma=90.00
With the nearest neighbours (Å) after each atom.
Space group P4/mmm (No. 123)
Symmetry-distinct sites (fractional):
Tl  0.0000  0.0000  0.0000 x1  8 In 2.98, 2 Tl 3.22
In  0.0000  0.5000  0.5000 x2  4 Tl 2.98, 4 Ir 2.98, 2 In 3.22
Ir  0.5000  0.5000  0.0000 x1  8 In 2.98, 2 Ir 3.22